(1)
VASP calculation (GGA-PBE) on an optimized crystal structure of K3CuN.

Cell and atoms, written as POSCAR:
```
K3CuN
1.0
5.465 0.000 0.000
0.000 5.465 0.000
0.000 0.000 5.465
K Cu N
3 1 1
direct
0.000 0.000 0.500
0.000 0.500 0.000
0.500 0.000 0.000
0.500 0.500 0.500
0.000 0.000 0.000
```

SG = No. 221
total moment = 1.000 μB per formula unit
polymorph energy (0 for the lowest one) = 0.00 eV per formula unit
density of states at the Fermi level = 3.04 states/eV/f.u.
formation energy without anion corrections = 0.56 eV per atom
mass density = 1.98 Mg/m³


(2)
VASP calculation (GGA-PBE) on an optimized crystal structure of Mg2TaSe.

Cell and atoms, written as POSCAR:
```
Mg2TaSe
1.0
4.713 0.000 0.000
0.000 4.713 0.000
0.000 0.000 3.520
Mg Ta Se
2 1 1
direct
0.000 0.500 0.000
0.500 0.000 0.000
0.000 0.000 0.500
0.500 0.500 0.500
```

SG = No. 123
total moment = 1.076 μB per formula unit
density of states at the Fermi level = 3.40 states/eV/f.u.
formation energy without anion corrections = 0.27 eV per atom
mass density = 6.55 Mg/m³


> Which value of mass density does entry 2 give?

6.55 Mg/m³


Copy entry 2 word for word.
VASP calculation (GGA-PBE) on an optimized crystal structure of Mg2TaSe.

Cell and atoms, written as POSCAR:
```
Mg2TaSe
1.0
4.713 0.000 0.000
0.000 4.713 0.000
0.000 0.000 3.520
Mg Ta Se
2 1 1
direct
0.000 0.500 0.000
0.500 0.000 0.000
0.000 0.000 0.500
0.500 0.500 0.500
```

SG = No. 123
total moment = 1.076 μB per formula unit
density of states at the Fermi level = 3.40 states/eV/f.u.
formation energy without anion corrections = 0.27 eV per atom
mass density = 6.55 Mg/m³


> Look up the density of states at the Fermi level of the second one.

3.40 states/eV/f.u.


> Number 1 is which compound?

K3CuN